1.
Compound: LiIr2Ru
Source: the Alexandria database
Functional: PBE-GGA
Structure: optimized geometry

Lattice parameters (Å, degrees): 8.928 2.696 4.638 90.00 98.26 90.00
Element x y z (fractional)
Li 0.000 0.000 0.000
Li 0.500 0.500 0.000
Ir 0.255 0.500 0.216
Ir 0.494 0.000 0.504
Ir 0.755 0.000 0.216
Ir 0.994 0.500 0.504
Ru 0.238 0.000 0.723
Ru 0.738 0.500 0.723

## Properties
space-group type	Cm (8)
ΔE to the lowest computed polymorph	0.00	eV per formula unit

2.
Compound: Pm3Mg2Hg6
Source: the Alexandria database
Functional: PBE-GGA
Structure: optimized geometry

Lattice parameters (Å, degrees): 14.016 14.016 14.016 161.18 161.18 26.73
Element x y z (fractional)
Pm 0.000 0.000 0.000
Pm 0.198 0.198 0.000
Pm 0.802 0.802 0.000
Mg 0.450 0.450 0.000
Mg 0.550 0.550 0.000
Hg 0.108 0.608 0.500
Hg 0.313 0.313 0.000
Hg 0.392 0.892 0.500
Hg 0.608 0.108 0.500
Hg 0.687 0.687 0.000
Hg 0.892 0.392 0.500

## Properties
space-group type	I4/mmm (139)

3.
Compound: AcTmMg2Au4
Source: the Alexandria database
Functional: PBE-GGA
Structure: optimized geometry

Lattice parameters (Å, degrees): 9.765 9.765 9.765 28.21 28.21 28.21
Element x y z (fractional)
Ac 0.000 0.000 0.000
Tm 0.500 0.500 0.500
Mg 0.239 0.239 0.239
Mg 0.761 0.761 0.761
Au 0.121 0.121 0.121
Au 0.397 0.397 0.397
Au 0.603 0.603 0.603
Au 0.879 0.879 0.879

## Properties
space-group type	R-3m (166)

It is found that the energy of formation from the pure elements values, taken in the order of the records, are -0.026, -0.281, -0.754 eV per atom.
It is found that the electronic total energy values, taken in the order of the records, are -29.02, -22.34, -30.91 eV per formula unit.
It is found that the mass density values, taken in the order of the records, are 14.8, 9.8, 11.1 g/cm3.